No. 1
The following is a DFT calculation (PBE-GGA) of a geometry-optimized Hg2HRuO6 structure.

abc: 5.866 6.347 7.477
angles: 123.21 131.13 83.48
Fractional coordinates of all 10 atoms:
1 O 0.189 0.174 0.043
2 H 0.537 0.792 0.175
3 O 0.246 0.993 0.363
4 Hg 0.155 0.738 0.560
5 O 0.199 0.701 0.893
6 Hg 0.966 0.298 0.641
7 O 0.616 0.699 0.707
8 O 0.765 0.888 0.404
9 O 0.821 0.224 0.153
10 Ru 0.004 0.997 0.059

Values from the calculation:
crystal system = triclinic
VASP energy = -48.2 eV/cell

=====

No. 2
The following is a DFT calculation (PBE-GGA) of a geometry-optimized Nb3O7F structure.

abc: 6.348 6.348 3.899
angles: 90.00 90.00 117.80
Fractional coordinates of all 11 atoms:
1 Nb 0.698 0.302 0.000
2 O 0.045 0.338 0.000
3 O 0.338 0.045 0.000
4 F 0.500 0.500 0.000
5 O 0.000 0.000 0.500
6 Nb 0.302 0.698 0.000
7 O 0.662 0.955 0.000
8 Nb 0.000 0.000 0.000
9 O 0.315 0.685 0.500
10 O 0.955 0.662 0.000
11 O 0.685 0.315 0.500

Values from the calculation:
crystal system = orthorhombic
E_form (uncorrected) = -2740 kJ/mol of formula units
VASP energy = -95.2 eV/cell
energy above the most stable polymorph in this dataset = 22 kJ/mol of formula units